## Th5GaTe5 (PBE)

Data for Th5GaTe5 after structural relaxation.

Unit cell a=7.6087 b=7.6087 c=8.9051 alpha=107.07 beta=107.07 gamma=48.42
With the nearest neighbours (Å) after each atom.
Sites, in units of the cell vectors:
Th 0.0000 0.0000 0.0000  2 Ga 3.12, 4 Te 3.14-3.19
Th 0.3349 0.3349 0.1488  1 Ga 2.99, 5 Te 3.14-3.31
Th 0.3434 0.3434 0.6863  1 Ga 2.94, 5 Te 3.13-3.24
Th 0.6566 0.6566 0.3137  1 Ga 2.94, 5 Te 3.13-3.24
Th 0.6651 0.6651 0.8512  1 Ga 2.99, 5 Te 3.14-3.31
Ga 0.5000 0.5000 0.0000  6 Th 2.94-3.12
Te 0.1527 0.1527 0.8051  5 Th 3.14-3.28
Te 0.1674 0.1674 0.3428  5 Th 3.13-3.31
Te 0.5000 0.5000 0.5000  4 Th 3.13-3.23
Te 0.8326 0.8326 0.6572  5 Th 3.13-3.31
Te 0.8473 0.8473 0.1949  5 Th 3.14-3.28

Calculated values
Total magnetization in μB/f.u.: 0.00
Formation energy without anion corrections in eV/atom: -1.015
Space-group type: C2/m
Calculated density in g cm⁻³: 8.5
Raw total energy in eV per atom: -6.091